Record 1
Computed, not measured: a geometry-optimized TaRuO2 structure at the PBE level of DFT.

Formation energy without anion corrections in eV/atom: -0.708
Uncorrected energy in eV per atom: -8.4687
SG: R-3m (166)
ΔE to the lowest computed polymorph in meV per atom: 556.0
Theoretical density in g cm⁻³: 10.026
N(E_F) in states/eV/f.u.: 2.70

```
4
Lattice="-4.871 2.729 1.977 -5.650 -0.438 1.723 -3.992 0.634 4.330" Properties=species:S:1:pos:R:3 pbc="T T T"
O -1.698 0.342 0.939
O -12.815 2.583 7.091
Ta 0.000 0.000 0.000
Ru -7.257 1.463 4.015
```

Record 2
Computed, not measured: a geometry-optimized Tl2AgAu2 structure at the PBE level of DFT.

Uncorrected energy in eV per atom: -2.6423
SG: P4/mbm (127)
ΔE to the lowest computed polymorph in meV per atom: 134.2
Theoretical density in g cm⁻³: 12.705
N(E_F) in states/eV/f.u.: 1.69

```
10
Lattice="7.859 0.000 0.000 0.000 7.859 0.000 0.000 0.000 3.854" Properties=species:S:1:pos:R:3 pbc="T T T"
Tl 6.526 5.262 0.000
Tl 2.597 6.526 0.000
Tl 1.333 2.597 0.000
Tl 5.262 1.333 0.000
Au 2.902 1.027 1.927
Au 6.832 2.902 1.927
Au 4.957 6.832 1.927
Au 1.027 4.957 1.927
Ag 3.929 3.929 0.000
Ag 0.000 0.000 0.000
```

Record 3
Computed, not measured: a geometry-optimized MnFeSiGe structure at the PBE level of DFT.

Formation energy without anion corrections in eV/atom: -0.084
Uncorrected energy in eV per atom: -7.0024
SG: Amm2 (38)
ΔE to the lowest computed polymorph in meV per atom: 64.2
Theoretical density in g cm⁻³: 7.215
N(E_F) in states/eV/f.u.: 2.77

```
8
Lattice="3.419 0.000 0.000 0.000 2.773 0.000 0.000 0.000 10.268" Properties=species:S:1:pos:R:3 pbc="T T T"
Fe 0.000 0.000 7.973
Fe 0.000 1.387 2.839
Mn 0.000 0.000 0.409
Mn 0.000 1.387 5.543
Ge 1.709 1.387 9.065
Ge 1.709 0.000 3.931
Si 1.709 0.000 6.479
Si 1.709 1.387 1.345
```

Record 4
Computed, not measured: a geometry-optimized PuNpZnRu structure at the PBE level of DFT.

Uncorrected energy in eV per atom: -9.4984
SG: F-43m (216)
Theoretical density in g cm⁻³: 14.900
N(E_F) in states/eV/f.u.: 8.16

```
4
Lattice="4.673 0.000 0.000 2.337 4.047 0.000 2.337 1.349 3.816" Properties=species:S:1:pos:R:3 pbc="T T T"
Ru 7.010 4.047 2.862
Zn 0.000 0.000 0.000
Pu 2.337 1.349 0.954
Np 4.673 2.698 1.908
```

Record 5
Computed, not measured: a geometry-optimized Nd2BeNiPd6 structure at the PBE level of DFT.

Uncorrected energy in eV per atom: -5.5447
SG: C2/m (12)
Theoretical density in g cm⁻³: 8.937
N(E_F) in states/eV/f.u.: 3.28

```
10
Lattice="-1.935 -1.111 5.107 7.135 -0.737 2.547 3.222 3.271 4.975" Properties=species:S:1:pos:R:3 pbc="T T T"
Ni 0.000 0.000 0.000
Pd 3.736 2.175 9.508
Pd 4.686 -0.752 3.120
Pd 2.032 1.232 4.082
Pd 3.709 -1.316 5.698
Pd 6.390 0.191 8.545
Pd 4.714 2.739 6.930
Nd 6.205 0.588 5.522
Nd 2.217 0.834 7.105
Be 2.600 -0.924 3.827
```

Record 6
Computed, not measured: a geometry-optimized NaAcSi2O6 structure at the PBE level of DFT.

Formation energy without anion corrections in eV/atom: -2.849
Uncorrected energy in eV per atom: -7.4516
SG: C2/c (15)
Theoretical density in g cm⁻³: 4.584
N(E_F) in states/eV/f.u.: 0.00

```
20
Lattice="5.080 -0.282 -0.293 1.282 7.511 -0.205 1.282 -0.483 7.498" Properties=species:S:1:pos:R:3 pbc="T T T"
O 4.258 0.785 4.030
O 3.232 6.692 5.660
O 1.873 1.478 0.249
O 1.718 4.140 1.081
O 5.771 5.267 6.751
O 5.926 2.605 5.919
O 0.995 2.157 2.707
O 6.649 4.588 4.293
O 3.535 2.484 2.109
O 4.109 4.261 4.891
O 3.386 5.960 2.969
O 4.413 0.053 1.340
Si 3.103 5.558 4.501
Si 5.643 4.151 5.574
Si 4.542 1.187 2.499
Si 2.002 2.594 1.425
Na 5.092 4.325 2.441
Na 2.552 2.420 4.559
Ac 5.092 0.367 6.255
Ac 2.552 6.378 0.745
```

Record 7
Computed, not measured: a geometry-optimized ZrPb2Au structure at the PBE level of DFT.

Uncorrected energy in eV per atom: -4.6607
SG: I-42d (122)
ΔE to the lowest computed polymorph in meV per atom: 326.3
Theoretical density in g cm⁻³: 11.453
N(E_F) in states/eV/f.u.: 3.48

```
8
Lattice="-4.757 3.268 5.551 4.691 -2.971 5.770 1.719 2.799 5.601" Properties=species:S:1:pos:R:3 pbc="T T T"
Au 0.000 0.000 0.000
Au -1.536 3.108 8.406
Pb 1.153 2.281 8.309
Pb 1.343 2.289 14.243
Pb -2.070 2.449 5.723
Pb 2.880 -0.826 5.568
Zr 3.189 -0.012 8.515
Zr -0.033 0.149 5.660
```

Record 8
Computed, not measured: a geometry-optimized CsGaPb structure at the PBE level of DFT.

Uncorrected energy in eV per atom: -2.5856
SG: Pmc2_1 (26)
Theoretical density in g cm⁻³: 5.975
N(E_F) in states/eV/f.u.: 1.09

```
12
Lattice="7.558 0.000 0.000 0.000 8.967 0.000 0.000 0.000 6.722" Properties=species:S:1:pos:R:3 pbc="T T T"
Pb 0.889 5.518 1.680
Pb 0.889 5.518 5.043
Pb 6.669 1.035 5.043
Pb 6.669 1.035 1.680
Cs 2.851 8.695 3.361
Cs 4.707 4.211 3.361
Cs 4.712 6.829 0.000
Cs 2.846 2.345 0.000
Ga 0.867 2.912 3.361
Ga 6.685 3.639 0.000
Ga 6.691 7.395 3.361
Ga 0.873 8.123 0.000
```

Record 9
Computed, not measured: a geometry-optimized ZnFe2Sb structure at the PBE level of DFT.

Formation energy without anion corrections in eV/atom: 0.235
Uncorrected energy in eV per atom: -5.3458
SG: P4/mmm (123)
ΔE to the lowest computed polymorph in meV per atom: 75.9
Theoretical density in g cm⁻³: 8.337
N(E_F) in states/eV/f.u.: 4.23

```
4
Lattice="3.933 0.000 0.000 0.000 3.924 0.000 0.000 0.000 3.856" Properties=species:S:1:pos:R:3 pbc="T T T"
Zn 0.000 1.962 1.928
Fe 0.000 0.000 0.000
Fe 1.967 1.962 0.000
Sb 1.967 0.000 1.928
```

Record 10
Computed, not measured: a geometry-optimized NaLiGe structure at the PBE level of DFT.

Uncorrected energy in eV per atom: -2.8115
SG: I4/mmm (139)
ΔE to the lowest computed polymorph in meV per atom: 28.2
Theoretical density in g cm⁻³: 2.485
N(E_F) in states/eV/f.u.: 0.49

```
12
Lattice="-3.830 -2.108 -1.141 -0.465 -1.458 4.251 -6.989 11.060 3.030" Properties=species:S:1:pos:R:3 pbc="T T T"
Ge -8.481 8.240 4.301
Ge -4.150 6.568 1.799
Ge -2.839 4.493 1.231
Ge -2.803 -0.745 1.839
Li -1.915 -1.054 -0.571
Li -0.232 -0.729 2.126
Li -5.410 4.476 0.944
Li -3.727 4.801 3.641
Na -6.891 5.723 3.611
Na -5.740 9.084 2.489
Na -1.249 1.976 0.541
Na -4.393 1.771 2.529
```

Record 11
Computed, not measured: a geometry-optimized Ba8MgPt2 structure at the PBE level of DFT.

Uncorrected energy in eV per atom: -2.7930
SG: P-1 (2)
Theoretical density in g cm⁻³: 3.933
N(E_F) in states/eV/f.u.: 12.36

```
11
Lattice="-3.336 0.390 5.592 -8.018 4.760 -5.117 0.216 -10.597 0.869" Properties=species:S:1:pos:R:3 pbc="T T T"
Ba -6.082 -0.264 -1.767
Ba -9.080 2.436 0.055
Ba -5.057 -5.183 3.111
Ba -2.059 -7.883 1.288
Ba -5.967 -5.540 -1.207
Ba -8.991 -2.740 0.469
Ba -2.148 -2.707 0.874
Ba -5.172 0.092 2.551
Pt -7.758 -0.068 1.041
Pt -3.381 -5.379 0.302
Mg 0.216 -10.597 0.868
```

Record 12
Computed, not measured: a geometry-optimized MnGeMoRh structure at the PBE level of DFT.

Uncorrected energy in eV per atom: -8.2214
SG: F-43m (216)
Theoretical density in g cm⁻³: 9.583
N(E_F) in states/eV/f.u.: 1.66

```
4
Lattice="4.309 0.000 0.000 2.154 3.731 0.000 2.154 1.244 3.518" Properties=species:S:1:pos:R:3 pbc="T T T"
Ge 2.154 1.244 0.880
Mn 6.463 3.731 2.639
Mo 4.309 2.488 1.759
Rh 0.000 0.000 0.000
```

Record 13
Computed, not measured: a geometry-optimized TbPd14Pb structure at the PBE level of DFT.

Uncorrected energy in eV per atom: -5.3232
SG: P4/mmm (123)
Theoretical density in g cm⁻³: 11.721
N(E_F) in states/eV/f.u.: 27.08

```
16
Lattice="-1.035 -0.145 -5.660 0.217 -5.750 0.108 -7.803 -0.267 1.433" Properties=species:S:1:pos:R:3 pbc="T T T"
Pd -0.198 -5.086 -2.028
Pd -4.725 -2.417 -4.195
Pd -0.716 -5.159 -4.858
Pd -5.908 -3.815 0.447
Pd -0.307 -2.211 -2.082
Pd -1.883 -3.677 -0.292
Pd -4.100 -5.220 -1.311
Pd -2.509 -0.874 -3.178
Pd -0.824 -2.283 -4.912
Pd -6.534 -1.011 -2.438
Pd -6.016 -0.939 0.393
Pd -1.991 -0.801 -0.346
Pd -6.425 -3.888 -2.384
Pd -2.400 -3.750 -3.124
Pb -4.617 -5.292 -4.141
Tb -4.208 -2.344 -1.365
```

Record 14
Computed, not measured: a geometry-optimized Rb3MgF4 structure at the PBE level of DFT.

Formation energy without anion corrections in eV/atom: -2.587
Uncorrected energy in eV per atom: -4.0849
SG: Imm2 (44)
Theoretical density in g cm⁻³: 2.682
N(E_F) in states/eV/f.u.: 1.38

```
8
Lattice="6.715 -0.129 0.162 -3.419 5.781 -0.162 -2.789 -2.161 5.718" Properties=species:S:1:pos:R:3 pbc="T T T"
Rb 0.326 -0.190 0.489
Rb 0.003 3.785 1.552
Rb 0.571 -0.333 4.266
F 2.328 0.598 2.212
F -3.727 2.174 4.637
F -2.793 3.460 2.050
F -1.393 0.813 2.548
Mg -3.020 1.761 2.903
```

Record 15
Computed, not measured: a geometry-optimized LaSm2Th structure at the PBE level of DFT.

Uncorrected energy in eV per atom: -5.4231
SG: Cm (8)
ΔE to the lowest computed polymorph in meV per atom: 0.0
Theoretical density in g cm⁻³: 8.169
N(E_F) in states/eV/f.u.: 6.07

```
4
Lattice="-2.481 -1.360 -2.295 0.985 -1.014 -3.357 1.815 -11.745 2.101" Properties=species:S:1:pos:R:3 pbc="T T T"
Sm 0.054 -3.410 -0.934
Sm 1.264 -9.138 1.149
Th -0.997 -1.583 -3.765
La 0.158 -7.047 -1.777
```

Record 16
Computed, not measured: a geometry-optimized DyInPb2S5 structure at the PBE level of DFT.

Formation energy without anion corrections in eV/atom: -0.955
Uncorrected energy in eV per atom: -4.8876
SG: Cmc2_1 (36)
Theoretical density in g cm⁻³: 6.135
N(E_F) in states/eV/f.u.: 0.00

```
18
Lattice="4.010 0.000 0.000 -2.005 8.884 0.000 0.000 0.000 12.948" Properties=species:S:1:pos:R:3 pbc="T T T"
Pb 2.005 6.613 2.148
Pb 2.005 6.564 10.527
Pb 0.000 2.271 8.623
Pb 0.000 2.320 4.052
In 0.000 8.066 5.669
In 2.005 0.818 12.144
Dy 0.000 3.666 0.281
Dy 2.005 5.218 6.755
S 2.005 3.755 2.160
S 0.000 6.358 0.178
S 2.005 3.274 11.381
S 2.005 0.329 3.536
S 2.005 8.060 7.160
S 0.000 8.555 10.010
S 0.000 0.824 0.685
S 2.005 2.526 6.652
S 0.000 5.129 8.635
S 0.000 5.610 4.907
```

Record 17
Computed, not measured: a geometry-optimized YMnMo3 structure at the PBE level of DFT.

Uncorrected energy in eV per atom: -8.8840
SG: Pm-3m (221)
ΔE to the lowest computed polymorph in meV per atom: 0.0
Theoretical density in g cm⁻³: 7.435
N(E_F) in states/eV/f.u.: 4.06

```
5
Lattice="4.585 0.000 0.000 0.000 4.585 0.000 0.000 0.000 4.585" Properties=species:S:1:pos:R:3 pbc="T T T"
Y 2.293 2.293 2.293
Mn 0.000 0.000 0.000
Mo 0.000 2.293 0.000
Mo 2.293 0.000 0.000
Mo 0.000 0.000 2.293
```

Record 18
Computed, not measured: a geometry-optimized PmNdP structure at the PBE level of DFT.

Uncorrected energy in eV per atom: -5.9075
SG: P3m1 (156)
ΔE to the lowest computed polymorph in meV per atom: 0.0
Theoretical density in g cm⁻³: 5.671
N(E_F) in states/eV/f.u.: 3.13

```
3
Lattice="-1.524 -6.534 0.163 3.175 -0.681 2.364 -3.566 0.872 1.629" Properties=species:S:1:pos:R:3 pbc="T T T"
Pm -0.227 -5.113 2.242
P -1.521 -6.522 0.163
Nd -1.692 -1.243 1.914
```

Record 19
Computed, not measured: a geometry-optimized Tb2HfUP4 structure at the PBE level of DFT.

Uncorrected energy in eV per atom: -7.8821
SG: P2/m (10)
Theoretical density in g cm⁻³: 8.425
N(E_F) in states/eV/f.u.: 7.24

```
8
Lattice="3.902 0.000 0.000 0.000 6.745 0.126 0.000 -2.349 6.384" Properties=species:S:1:pos:R:3 pbc="T T T"
P 0.000 4.519 1.611
P 1.951 1.066 1.514
P 0.000 -0.123 4.899
P 1.951 3.330 4.996
Hf 0.000 0.000 0.000
Tb 1.951 -1.174 3.192
Tb 0.000 2.198 3.255
U 1.951 3.372 0.063
```

Record 20
Computed, not measured: a geometry-optimized La8CuRh3Br4 structure at the PBE level of DFT.

Formation energy without anion corrections in eV/atom: -1.069
Uncorrected energy in eV per atom: -5.5858
SG: C2/m (12)
Theoretical density in g cm⁻³: 6.127
N(E_F) in states/eV/f.u.: 9.60

```
16
Lattice="8.430 0.000 0.000 0.000 9.296 0.597 -4.215 -4.215 5.965" Properties=species:S:1:pos:R:3 pbc="T T T"
La 2.063 2.420 6.149
La 2.152 2.661 0.413
La 4.215 4.529 3.199
La 4.215 0.596 3.334
La 0.000 0.552 3.363
La -2.063 2.420 6.149
La 0.000 4.485 3.228
La 6.278 2.661 0.413
Br 2.108 -2.108 2.983
Br 0.000 0.000 0.000
Br 4.215 0.000 0.000
Br -2.108 -2.108 2.983
Rh -2.108 2.540 3.281
Rh 2.108 2.540 3.281
Rh 4.215 4.648 0.298
Cu 0.000 4.648 0.298
```